Arrangement A

VASP calculation (GGA-PBE) on a relaxed structure of Li3Se.

abc: 4.060 4.060 16.172
angles: 90.00 90.00 90.00
Space group I4/mmm (No. 139)
Inequivalent atoms, fractional coordinates:
1 Li 0.000 0.000 0.120 (multiplicity 4)
2 Li 0.000 0.500 0.000 (multiplicity 4)
3 Li 0.000 0.500 0.250 (multiplicity 4)
4 Se 0.000 0.000 0.350 (multiplicity 4)

Computed properties:
V: 16.66 Å³/atom

Arrangement B

VASP calculation (GGA-PBE) on a relaxed structure of Li3Se.

abc: 8.962 3.954 3.973
angles: 90.00 114.67 90.00
Space group C2/m (No. 12)
Inequivalent atoms, fractional coordinates:
1 Li 0.000 0.000 0.000 (multiplicity 2)
2 Li 0.249 0.000 0.745 (multiplicity 4)
3 Se 0.000 0.500 0.500 (multiplicity 2)

Computed properties:
V: 15.99 Å³/atom

It comes down to arrangement A, which is 11.3 kJ/mol of atoms more stable than the next structure.

Arrangement A

VASP calculation (GGA-PBE) on a relaxed structure of Li5Se.

abc: 4.023 12.429 3.974
angles: 90.00 90.00 90.00
Space group Cmmm (No. 65)
Inequivalent atoms, fractional coordinates:
1 Li 0.000 0.000 0.000 (multiplicity 2)
2 Li 0.000 0.153 0.500 (multiplicity 4)
3 Li 0.000 0.339 0.000 (multiplicity 4)
4 Se 0.000 0.500 0.500 (multiplicity 2)

Computed properties:
V: 16.55 Å³/atom

Arrangement B

VASP calculation (GGA-PBE) on a relaxed structure of Li5Se.

abc: 10.076 3.644 6.256
angles: 90.00 107.45 90.00
Space group Cm (No. 8)
Inequivalent atoms, fractional coordinates:
1 Li 0.000 0.000 0.000 (multiplicity 2)
2 Li 0.026 0.000 0.463 (multiplicity 2)
3 Li 0.158 0.500 0.807 (multiplicity 2)
4 Li 0.289 0.000 0.154 (multiplicity 2)
5 Li 0.316 0.000 0.617 (multiplicity 2)
6 Se 0.158 0.500 0.310 (multiplicity 2)

Computed properties:
V: 18.26 Å³/atom

Arrangement C

VASP calculation (GGA-PBE) on a relaxed structure of Li5Se.

abc: 5.1590 5.1590 5.1275
angles: 90.00 90.00 120.00
Space group P6/mmm (No. 191)
Inequivalent atoms, fractional coordinates:
1 Li 0.0000 0.5000 0.0000 (multiplicity 3)
2 Li 0.3333 0.6667 0.5000 (multiplicity 2)
3 Se 0.0000 0.0000 0.5000 (multiplicity 1)

Computed properties:
V: 19.70 Å³/atom

It comes down to arrangement A, which is 5.1 kJ/mol of atoms more stable than the next structure.

Arrangement A

VASP calculation (GGA-PBE) on a relaxed structure of Li5Se4.

abc: 9.029 9.029 4.089
angles: 90.00 90.00 90.00
Space group I4/mmm (No. 139)
Inequivalent atoms, fractional coordinates:
1 Li 0.000 0.000 0.000 (multiplicity 2)
2 Li 0.178 0.178 0.500 (multiplicity 8)
3 Se 0.000 0.267 0.000 (multiplicity 8)

Computed properties:
V: 18.52 Å³/atom

Arrangement B

VASP calculation (GGA-PBE) on a relaxed structure of Li5Se4.

abc: 8.3578 8.3578 5.6660
angles: 90.00 90.00 120.00
Space group P6_3/mcm (No. 193)
Inequivalent atoms, fractional coordinates:
1 Li 0.0000 0.2514 0.2500 (multiplicity 6)
2 Li 0.3333 0.6667 0.0000 (multiplicity 4)
3 Se 0.0000 0.0000 0.0000 (multiplicity 2)
4 Se 0.0000 0.4601 0.7500 (multiplicity 6)

Computed properties:
V: 19.04 Å³/atom

It comes down to arrangement B, which is 23.5 kJ/mol of atoms more stable than the next structure.

Arrangement A

VASP calculation (GGA-PBE) on a relaxed structure of Li3SiSe4.

abc: 6.284 6.284 6.284
angles: 90.00 90.00 90.00
Space group P-43m (No. 215)
Inequivalent atoms, fractional coordinates:
1 Li 0.000 0.000 0.500 (multiplicity 3)
2 Si 0.000 0.000 0.000 (multiplicity 1)
3 Se 0.210 0.210 0.210 (multiplicity 4)

Computed properties:
V: 31.01 Å³/atom

Arrangement B

VASP calculation (GGA-PBE) on a relaxed structure of Li3SiSe4.

abc: 8.561 7.368 5.938
angles: 90.00 90.00 90.00
Space group Pmn2_1 (No. 31)
Inequivalent atoms, fractional coordinates:
1 Li 0.000 0.154 0.000 (multiplicity 2)
2 Li 0.234 0.326 0.496 (multiplicity 4)
3 Si 0.000 0.821 0.433 (multiplicity 2)
4 Se 0.000 0.118 0.546 (multiplicity 2)
5 Se 0.000 0.812 0.050 (multiplicity 2)
6 Se 0.224 0.674 0.543 (multiplicity 4)

Computed properties:
V: 23.41 Å³/atom

It comes down to arrangement B, which is 1.2 kJ/mol of atoms more stable than the next structure.

Arrangement A

VASP calculation (GGA-PBE) on a relaxed structure of Li2SiSe4.

abc: 5.031 5.031 12.828
angles: 90.00 90.00 90.00
Space group I4/mmm (No. 139)
Inequivalent atoms, fractional coordinates:
1 Li 0.000 0.000 0.111 (multiplicity 4)
2 Si 0.000 0.000 0.500 (multiplicity 2)
3 Se 0.000 0.000 0.322 (multiplicity 4)
4 Se 0.000 0.500 0.000 (multiplicity 4)

Computed properties:
V: 23.19 Å³/atom

Arrangement B

VASP calculation (GGA-PBE) on a relaxed structure of Li2SiSe4.

abc: 14.020 3.590 6.324
angles: 90.00 116.05 90.00
Space group C2/m (No. 12)
Inequivalent atoms, fractional coordinates:
1 Li 0.197 0.000 0.224 (multiplicity 4)
2 Si 0.000 0.500 0.500 (multiplicity 2)
3 Se 0.070 0.500 0.945 (multiplicity 4)
4 Se 0.134 0.000 0.554 (multiplicity 4)

Computed properties:
V: 20.43 Å³/atom

It comes down to arrangement B, which is 28.9 kJ/mol of atoms more stable than the next structure.

Arrangement A

VASP calculation (GGA-PBE) on a relaxed structure of LiSmSe.

abc: 5.860 4.192 6.444
angles: 90.00 116.08 90.00
Space group P2_1/m (No. 11)
Inequivalent atoms, fractional coordinates:
1 Li 0.140 0.250 0.110 (multiplicity 2)
2 Sm 0.351 0.250 0.700 (multiplicity 2)
3 Se 0.159 0.750 0.326 (multiplicity 2)

Computed properties:
V: 23.69 Å³/atom

Arrangement B

VASP calculation (GGA-PBE) on a relaxed structure of LiSmSe.

abc: 4.1617 4.1617 4.0487
angles: 90.00 90.00 120.00
Space group P-6m2 (No. 187)
Inequivalent atoms, fractional coordinates:
1 Li 0.0000 0.0000 0.0000 (multiplicity 1)
2 Sm 0.6667 0.3333 0.5000 (multiplicity 1)
3 Se 0.3333 0.6667 0.0000 (multiplicity 1)

Computed properties:
V: 20.24 Å³/atom

It comes down to arrangement B, which is 3.8 kJ/mol of atoms more stable than the next structure.